## CoPbN2F (GGA-PBEsol)

Data for CoPbN2F after structural relaxation.

**Symmetry**: P4/mmm, No. 123
**Raw formation energy**: 0.06 eV/atom
**D(E_F)**: 2.94 states/eV per cell

Cell: 3.555 3.555 5.032 Å, 90.00 90.00 90.00°
Fractional positions:
1 Co 0.000 0.000 0.000
2 N 0.000 0.500 0.000
3 N 0.500 0.000 0.000
4 F 0.000 0.000 0.500
5 Pb 0.500 0.500 0.500

---

## CoRhN2F (GGA-PBEsol)

Data for CoRhN2F after structural relaxation.

**Symmetry**: P4/mmm, No. 123
**Raw formation energy**: 0.93 eV/atom
**D(E_F)**: 3.82 states/eV per cell

Cell: 3.754 3.754 4.140 Å, 90.00 90.00 90.00°
Site moments in Bohr magnetons follow the coordinates.
Fractional positions:
1 N 0.500 0.000 0.000  0.14
2 N 0.000 0.500 0.000  0.14
3 Rh 0.000 0.000 0.000  -0.12
4 Co 0.500 0.500 0.500  2.24
5 F 0.000 0.000 0.500  0.02